KTcMo2O8 PBE with a Hubbard U optimized geometry; crystal system = monoclinic; size of the total moment = 2.002 μB/cell; E = -84.3 eV for the cell shown; D(E_F) = 0.165 states/eV per atom
1.0
5.623 -0.037 -0.059
2.561 5.006 -0.059
0.296 0.180 7.708
K Tc Mo O
1 1 2 8
direct
0.000 0.000 0.500
0.000 0.000 0.000
0.644 0.644 0.220
0.356 0.356 0.780
0.716 0.196 0.823
0.800 0.800 0.083
0.687 0.687 0.439
0.313 0.313 0.561
0.200 0.200 0.917
0.196 0.716 0.823
0.804 0.284 0.177
0.284 0.804 0.177